A relaxed structure of Li4TbCe, computed with GGA-PBE.

a = 5.871 Å, b = 5.871 Å, c = 5.871 Å
α = 60.00°, β = 60.00°, γ = 60.00°
Site moments in Bohr magnetons follow the coordinates.
Element x y z (fractional)
1 Tb 0.250 0.250 0.250  0.19
2 Li 0.624 0.624 0.624  0.01
3 Li 0.127 0.624 0.624  0.01
4 Li 0.624 0.127 0.624  0.01
5 Li 0.624 0.624 0.127  0.01
6 Ce 0.000 0.000 0.000  1.05

Crystal system: cubic
SG: F-43m, No. 216
Formation energy in meV per atom: 185